Er5NiTe3 PBE relaxed; E = -43.13 eV per cell
1.0
8.499 0.000 0.000
-4.250 7.361 0.000
0.000 0.000 3.763
Er Ni Te
5 1 3
Direct
0.000 0.227 0.000
0.227 0.000 0.000
0.333 0.667 0.000
0.667 0.333 0.000
0.773 0.773 0.000
0.000 0.000 0.500
0.000 0.584 0.500
0.416 0.416 0.500
0.584 0.000 0.500